Material: La2FeAgO5
Method: DFT, GGA+U
State: optimized geometry Values from VASP.

```
&SYSTEM
  ibrav = 0, nat = 18, ntyp = 4
/
ATOMIC_SPECIES
La 138.91 La.upf
Fe 55.84 Fe.upf
Ag 107.87 Ag.upf
O 16.00 O.upf
CELL_PARAMETERS angstrom
6.952 0.000 0.000
0.000 6.952 0.000
0.000 0.000 5.630
ATOMIC_POSITIONS crystal
La 0.181 0.319 0.000
La 0.319 0.819 0.000
La 0.681 0.181 0.000
La 0.819 0.681 0.000
Fe 0.000 0.500 0.500
Fe 0.500 0.000 0.500
Ag 0.000 0.000 0.500
Ag 0.500 0.500 0.500
O 0.000 0.000 0.000
O 0.129 0.629 0.260
O 0.129 0.629 0.740
O 0.371 0.129 0.260
O 0.371 0.129 0.740
O 0.500 0.500 0.000
O 0.629 0.871 0.260
O 0.629 0.871 0.740
O 0.871 0.371 0.260
O 0.871 0.371 0.740
```

Output
volume: 272.1 Å³ per cell
final energy: -6.949 eV per atom